1.
TiS2 | PBE-GGA | relaxed

## Properties
volume = 23.2 Å³ per atom
N(E_F) = 0.559 states/eV per atom
DFT total energy = -6.276 eV/atom

Cell lengths 5.571, 5.932, 9.014 Å; angles 72.30, 85.34, 79.55 degrees
Element x y z (fractional)
1 Ti 0.000 0.000 0.000
2 Ti 0.000 0.000 0.500
3 Ti 0.477 0.678 0.354
4 Ti 0.523 0.322 0.646
5 S 0.149 0.994 0.245
6 S 0.162 0.394 0.467
7 S 0.286 0.234 0.873
8 S 0.367 0.750 0.607
9 S 0.633 0.250 0.393
10 S 0.714 0.766 0.127
11 S 0.838 0.606 0.533
12 S 0.851 0.006 0.755



2.
Ti5S8 | PBE-GGA | relaxed

## Properties
energy above the most stable polymorph in this dataset = 0.000 eV/atom
volume = 18.2 Å³ per atom
N(E_F) = 0.559 states/eV per atom
DFT total energy = -6.967 eV/atom

Cell lengths 6.757, 6.757, 8.262 Å; angles 126.92, 126.92, 60.96 degrees
Element x y z (fractional)
1 Ti 0.000 0.000 0.000
2 Ti 0.255 0.255 0.010
3 Ti 0.264 0.736 0.500
4 Ti 0.736 0.264 0.500
5 Ti 0.745 0.745 0.990
6 S 0.037 0.037 0.331
7 S 0.042 0.542 0.830
8 S 0.458 0.958 0.170
9 S 0.459 0.459 0.668
10 S 0.541 0.541 0.332
11 S 0.542 0.042 0.830
12 S 0.958 0.458 0.170
13 S 0.963 0.963 0.669



3.
TiS2 | PBE-GGA | relaxed

## Properties
volume = 21.6 Å³ per atom
N(E_F) = 0.047 states/eV per atom
DFT total energy = -6.661 eV/atom

Cell lengths 3.407, 3.407, 13.030 Å; angles 82.54, 82.68, 60.00 degrees
Element x y z (fractional)
1 Ti 0.078 0.084 0.254
2 Ti 0.922 0.916 0.746
3 S 0.220 0.212 0.856
4 S 0.376 0.380 0.365
5 S 0.624 0.620 0.635
6 S 0.780 0.788 0.144



4.
TiS3 | PBE-GGA | relaxed

## Properties
volume = 28.9 Å³ per atom
N(E_F) = 0.474 states/eV per atom
DFT total energy = -5.536 eV/atom

Cell lengths 11.960, 11.960, 2.798 Å; angles 90.00, 90.00, 120.00 degrees
Element x y z (fractional)
1 Ti 0.000 0.000 0.000
2 Ti 0.333 0.667 0.667
3 Ti 0.667 0.333 0.333
4 S 0.094 0.188 0.499
5 S 0.094 0.906 0.499
6 S 0.145 0.572 0.166
7 S 0.428 0.572 0.166
8 S 0.428 0.855 0.166
9 S 0.478 0.239 0.833
10 S 0.761 0.239 0.833
11 S 0.761 0.522 0.833
12 S 0.812 0.906 0.499



5.
TiS2 | PBE-GGA | relaxed

## Properties
volume = 15.7 Å³ per atom
N(E_F) = 0.768 states/eV per atom
DFT total energy = -5.376 eV/atom

Cell lengths 4.274, 4.274, 2.978 Å; angles 90.00, 90.00, 120.00 degrees
Element x y z (fractional)
1 Ti 0.000 0.000 0.000
2 S 0.333 0.667 0.500
3 S 0.667 0.333 0.500



6.
TiS | PBE-GGA | relaxed

## Properties
volume = 14.9 Å³ per atom
N(E_F) = 0.140 states/eV per atom
DFT total energy = -7.483 eV/atom

Cell lengths 3.269, 3.269, 3.218 Å; angles 90.00, 90.00, 120.00 degrees
Element x y z (fractional)
1 Ti 0.000 0.000 0.000
2 S 0.333 0.667 0.500



7.
TiS4 | PBE-GGA | relaxed

## Properties
volume = 24.2 Å³ per atom
N(E_F) = 0.409 states/eV per atom
DFT total energy = -5.469 eV/atom

Cell lengths 6.104, 3.479, 11.432 Å; angles 90.00, 93.13, 90.00 degrees
Element x y z (fractional)
1 Ti 0.000 0.000 0.000
2 Ti 0.500 0.500 0.000
3 S 0.180 0.500 0.122
4 S 0.245 0.000 0.450
5 S 0.255 0.500 0.550
6 S 0.320 0.000 0.878
7 S 0.680 0.000 0.122
8 S 0.745 0.500 0.450
9 S 0.755 0.000 0.550
10 S 0.820 0.500 0.878



8.
TiS | PBE-GGA | relaxed

## Properties
volume = 18.6 Å³ per atom
N(E_F) = 1.021 states/eV per atom
DFT total energy = -7.166 eV/atom

Cell lengths 3.452, 11.549, 5.587 Å; angles 90.00, 90.00, 90.00 degrees
Element x y z (fractional)
1 Ti 0.250 0.118 0.009
2 Ti 0.250 0.382 0.009
3 Ti 0.250 0.750 0.346
4 Ti 0.750 0.250 0.654
5 Ti 0.750 0.618 0.991
6 Ti 0.750 0.882 0.991
7 S 0.250 0.250 0.341
8 S 0.250 0.551 0.257
9 S 0.250 0.949 0.257
10 S 0.750 0.051 0.743
11 S 0.750 0.449 0.743
12 S 0.750 0.750 0.659



- Number 3 is which compound?
  TiS2